This record from the Alexandria database describes an optimized crystal structure of LaDy3Al. The functional is PBE-GGA.

D(E_F) ... 1.318 states/eV per atom
Total DFT energy (no corrections) ... -4.5791 eV per atom
Energy relative to the elements ... -0.0839 eV/atom

Cell: 8.476 6.094 11.735 Å, 90.00 100.69 90.00°
Space group P2_1/c (No. 14)
Symmetry-distinct sites (fractional):
La1 0.186 0.013 0.474 [4 per cell]
Dy1 0.151 0.515 0.275 [4 per cell]
Dy2 0.192 0.511 0.598 [4 per cell]
Dy3 0.482 0.152 0.328 [4 per cell]
Al1 0.469 0.668 0.425 [4 per cell]



This record from the Alexandria database describes an optimized crystal structure of Tl2GeS8. The functional is PBE-GGA.

D(E_F) ... 0.202 states/eV per atom
Total DFT energy (no corrections) ... -3.8256 eV per atom

Cell: 4.342 6.038 12.070 Å, 85.34 83.65 75.47°
Space group P-1 (No. 2)
Symmetry-distinct sites (fractional):
Tl1 0.116 0.258 0.118 [2 per cell]
Ge1 0.500 0.000 0.500 [1 per cell]
S1 0.331 0.634 0.532 [2 per cell]
S2 0.367 0.296 0.764 [2 per cell]
S3 0.377 0.979 0.711 [2 per cell]
S4 0.416 0.728 0.093 [2 per cell]